(1)
The following is a DFT calculation (PBE) of LiFeIr after structural relaxation.

## Properties
polymorph energy (0 for the lowest one)	0.2486	eV per atom
volume	12.6	Å³ per atom
ΔH_f (0 K)	210	meV/atom
final energy	-0.4559	Ry/atom
SG	P6_3/mmc
mass density	11.202	Mg/m³

Cell and atoms, written as POSCAR:
```
LiFeIr
1.0
3.6206 -2.0904 0.0000
0.0000 4.1807 0.0000
0.0000 0.0000 4.9943
Li Ir Fe
2 2 2
Cartesian
0.0000 0.0000 0.0000
0.0000 0.0000 2.4972
2.4138 0.0000 1.2486
1.2069 2.0904 3.7457
2.4138 0.0000 3.7457
1.2069 2.0904 1.2486
```



(2)
The following is a DFT calculation (PBE) of Hf5Ni2Pt after structural relaxation.

## Properties
volume	18.4	Å³ per atom
ΔH_f (0 K)	-525	meV/atom
final energy	-0.6575	Ry/atom
SG	C2/m
mass density	13.577	Mg/m³

Cell and atoms, written as POSCAR:
```
Hf5Ni2Pt
1.0
5.7941 -0.0159 -2.7207
-1.3823 5.9670 -2.8745
0.3528 0.2320 8.2268
Hf Ni Pt
10 4 2
Cartesian
5.1373 2.9237 -1.6115
-0.3728 3.2594 4.2432
2.5587 3.2075 5.4292
3.9676 1.2475 3.3854
3.4614 5.9126 -2.5908
2.4701 1.9433 0.2219
0.7969 4.9355 -0.7538
0.0000 0.0000 0.0000
2.2944 4.2397 2.4098
1.3032 0.2705 5.2224
4.1812 3.7735 -4.1995
0.5833 2.4096 6.8312
1.3090 5.3850 4.7308
3.4556 0.7981 -2.0992
3.4837 4.5763 -0.0875
1.2809 1.6068 2.7191
```



(3)
The following is a DFT calculation (PBE) of Ac3EuCl after structural relaxation.

## Properties
volume	41.1	Å³ per atom
final energy	-0.3974	Ry/atom
SG	Pm-3m
formation energy from raw total energies	-0.517	eV/atom
mass density	7.016	Mg/m³

Cell and atoms, written as POSCAR:
```
Ac3EuCl
1.0
-3.1351 4.9254 -0.8589
-4.0457 -1.9035 3.8517
2.9377 2.6351 4.3878
Eu Ac Cl
1 3 1
Cartesian
-2.1216 2.8285 3.6903
-1.5676 2.4627 -0.4295
-2.0228 -0.9517 1.9259
1.4689 1.3175 2.1939
0.0000 0.0000 0.0000
```



(4)
The following is a DFT calculation (PBE) of La3TaN after structural relaxation.

## Properties
polymorph energy (0 for the lowest one)	0.0000	eV per atom
volume	25.8	Å³ per atom
final energy	-0.5256	Ry/atom
SG	Pm-3m
formation energy from raw total energies	-0.159	eV/atom
mass density	7.885	Mg/m³

Cell and atoms, written as POSCAR:
```
La3TaN
1.0
-2.5411 4.0613 1.5984
0.2340 -1.7201 4.7426
4.3582 2.4603 0.6773
La N Ta
3 1 1
Cartesian
0.1170 -0.8601 2.3713
-1.2706 2.0306 0.7992
2.1791 1.2302 0.3387
0.0000 0.0000 0.0000
1.0256 2.4007 3.5092
```